Entry 1:
Here is a relaxed TeAs2Ru crystal from Alexandria. Energies are from PBE.

The uncorrected formation energy is 0.171 eV per atom. Its density of states at the Fermi level is 0.560 states/eV/atom.

It has space group Imm2 (No. 44), with a = 3.1321 Å, b = 4.4122 Å, c = 12.0502 Å, α = 90.00°, β = 90.00° and γ = 90.00°. The inequivalent atoms are Te at (0.0000, 0.0000, 0.0000), As at (0.0000, 0.0000, 0.6450), As at (0.0000, 0.5000, 0.7887) and Ru at (0.0000, 0.5000, 0.3123).

***

Entry 2:
Here is a relaxed TeAsRu2 crystal from Alexandria. Energies are from PBE.

The uncorrected formation energy is 0.199 eV per atom. Its energy above the lowest structure with this stoichiometry is 0.277 eV/atom. Its density of states at the Fermi level is 0.575 states/eV/atom.

It has space group I-42d (No. 122), with a = 5.6019 Å, b = 5.6019 Å, c = 11.6260 Å, α = 90.00°, β = 90.00° and γ = 90.00°. The inequivalent atoms are Te at (0.0000, 0.0000, 0.0000), As at (0.0000, 0.0000, 0.5000) and Ru at (0.2187, 0.2500, 0.6250).

***

Entry 3:
Here is a relaxed TeAsRu2 crystal from Alexandria. Energies are from PBE.

The uncorrected formation energy is 0.240 eV per atom. Its energy above the lowest structure with this stoichiometry is 0.318 eV/atom. Its density of states at the Fermi level is 0.712 states/eV/atom.

It has space group R3m (No. 160, hexagonal axes), with a = 3.0710 Å, b = 3.0710 Å, c = 29.5175 Å, α = 90.00°, β = 90.00° and γ = 120.00°. The inequivalent atoms are Te at (0.0000, 0.0000, 0.0000), As at (0.0000, 0.0000, 0.7998), Ru at (0.0000, 0.0000, 0.2664) and Ru at (0.0000, 0.0000, 0.5246).

***

Entry 4:
Here is a relaxed TeAs2Ru crystal from Alexandria. Energies are from PBE.

The uncorrected formation energy is 0.154 eV per atom. Its density of states at the Fermi level is 0.230 states/eV/atom.

It has space group R3m (No. 160, hexagonal axes), with a = 3.6336 Å, b = 3.6336 Å, c = 22.6534 Å, α = 90.00°, β = 90.00° and γ = 120.00°. The inequivalent atoms are Te at (0.0000, 0.0000, 0.0000), As at (0.0000, 0.0000, 0.2165), As at (0.0000, 0.0000, 0.4860) and Ru at (0.0000, 0.0000, 0.7309).

***

Entry 5:
Here is a relaxed TeAs2Ru crystal from Alexandria. Energies are from PBE.

The uncorrected formation energy is 0.544 eV per atom. Its density of states at the Fermi level is 0.431 states/eV/atom.

It has space group Cmmm (No. 65), with a = 5.5758 Å, b = 7.9973 Å, c = 3.4525 Å, α = 90.00°, β = 90.00° and γ = 90.00°. The inequivalent atoms are Te at (0.0000, 0.0000, 0.0000), As at (0.2500, 0.2500, 0.5000) and Ru at (0.0000, 0.5000, 0.0000).

***

Entry 6:
Here is a relaxed TeAsRu2 crystal from Alexandria. Energies are from PBE.

The uncorrected formation energy is 0.405 eV per atom. Its energy above the lowest structure with this stoichiometry is 0.483 eV/atom. Its density of states at the Fermi level is 0.891 states/eV/atom.

It has space group I-4m2 (No. 119), with a = 3.8019 Å, b = 3.8019 Å, c = 9.2633 Å, α = 90.00°, β = 90.00° and γ = 90.00°. The inequivalent atoms are Te at (0.0000, 0.0000, 0.0000), As at (0.0000, 0.5000, 0.7500), Ru at (0.0000, 0.0000, 0.5000) and Ru at (0.0000, 0.5000, 0.2500).

***

Entry 7:
Here is a relaxed TeAsRu2 crystal from Alexandria. Energies are from PBE.

The uncorrected formation energy is 0.065 eV per atom. Its energy above the lowest structure with this stoichiometry is 0.143 eV/atom. Its density of states at the Fermi level is 0.558 states/eV/atom.

It has space group P4mm (No. 99), with a = 3.0713 Å, b = 3.0713 Å, c = 8.0558 Å, α = 90.00°, β = 90.00° and γ = 90.00°. The inequivalent atoms are Te at (0.0000, 0.0000, 0.0000), As at (0.5000, 0.5000, 0.4032), Ru at (0.0000, 0.0000, 0.5673) and Ru at (0.5000, 0.5000, 0.8100).

***

Entry 8:
Here is a relaxed TeAs2Ru crystal from Alexandria. Energies are from PBE.

The uncorrected formation energy is 0.072 eV per atom. Its density of states at the Fermi level is 0.737 states/eV/atom.

It has space group R-3m (No. 166, hexagonal axes), with a = 3.2296 Å, b = 3.2296 Å, c = 27.1770 Å, α = 90.00°, β = 90.00° and γ = 120.00°. The inequivalent atoms are Te at (0.0000, 0.0000, 0.0000), As at (0.0000, 0.0000, 0.2298) and Ru at (0.0000, 0.0000, 0.5000).

***

no.,DFT total energy (eV/atom)
1,-5.258
2,-6.387
3,-6.346
4,-5.275
5,-4.885
6,-6.181
7,-6.521
8,-5.357